A plane-wave DFT calculation with PBE was carried out for crystalline V3PtN at its relaxed geometry.

Lattice parameters (Å, degrees): 11.941 7.252 7.252 110.85 137.51 42.49
Sites, in units of the cell vectors:
V  0.918  0.915  0.085
V  0.082  0.409  0.256
V  0.582  0.585  0.415
V  0.918  0.591  0.744
N  0.168  0.173  0.827
Pt  0.750  0.082  0.582
Pt  0.250  0.582  0.082
V  0.418  0.756  0.909
V  0.918  0.256  0.409
Pt  0.750  0.418  0.918
V  0.418  0.091  0.244
N  0.668  0.673  0.327
V  0.418  0.415  0.585
V  0.082  0.085  0.915
V  0.582  0.244  0.091
N  0.832  0.827  0.173
Pt  0.250  0.918  0.418
N  0.332  0.327  0.673
V  0.082  0.744  0.591
V  0.582  0.909  0.756

Values from the calculation:
**Density**: 9.21 Mg/m³
**Uncorrected formation energy**: -0.64 eV/atom
**V**: 13.1 Å³/atom
**DFT total energy**: -179.61 eV/cell

A plane-wave DFT calculation with PBE was carried out for crystalline V7Pt2N2 at its relaxed geometry.

Lattice parameters (Å, degrees): 5.407 5.321 5.407 85.12 110.37 94.88
Sites, in units of the cell vectors:
Pt  0.201  0.500  0.201
V  0.555  0.810  0.445
V  0.000  0.000  0.000
V  0.445  0.190  0.555
V  0.064  0.776  0.503
N  0.771  0.957  0.229
V  0.497  0.776  0.936
V  0.503  0.224  0.064
Pt  0.799  0.500  0.799
V  0.936  0.224  0.497
N  0.229  0.043  0.771

Values from the calculation:
**Density**: 8.87 Mg/m³
**Uncorrected formation energy**: -0.44 eV/atom
**V**: 13.2 Å³/atom
**DFT total energy**: -97.39 eV/cell

A plane-wave DFT calculation with PBE was carried out for crystalline V3PtN at its relaxed geometry.

Lattice parameters (Å, degrees): 4.499 5.566 4.948 90.00 91.36 90.00
Sites, in units of the cell vectors:
Pt  0.763  0.750  0.641
Pt  0.237  0.250  0.359
V  0.219  0.750  0.355
V  0.753  0.501  0.153
V  0.247  0.499  0.847
N  0.470  0.750  0.038
V  0.247  0.001  0.847
N  0.530  0.250  0.962
V  0.753  0.999  0.153
V  0.781  0.250  0.645

Values from the calculation:
**Density**: 9.70 Mg/m³
**Uncorrected formation energy**: -0.64 eV/atom
**V**: 12.4 Å³/atom
**DFT total energy**: -89.88 eV/cell

A plane-wave DFT calculation with PBE was carried out for crystalline V3PtN at its relaxed geometry.

Lattice parameters (Å, degrees): 2.831 7.651 5.604 91.41 90.01 90.01
Sites, in units of the cell vectors:
V  0.732  0.502  0.981
V  0.232  0.770  0.721
V  0.232  0.238  0.732
V  0.732  0.970  0.992
N  0.232  0.505  0.731
V  0.732  0.499  0.485
Pt  0.232  0.735  0.230
N  0.732  0.235  0.982
Pt  0.732  0.005  0.483
V  0.232  0.241  0.228

Values from the calculation:
**Density**: 9.90 Mg/m³
**Uncorrected formation energy**: -0.74 eV/atom
**V**: 12.1 Å³/atom
**DFT total energy**: -90.82 eV/cell

A plane-wave DFT calculation with PBE was carried out for crystalline V3PtN at its relaxed geometry.

Lattice parameters (Å, degrees): 14.947 6.412 6.412 155.60 146.89 33.11
Sites, in units of the cell vectors:
N  0.877  0.945  0.055
V  0.370  0.834  0.166
V  0.071  0.261  0.739
V  0.151  0.874  0.126
V  0.630  0.166  0.834
V  0.929  0.739  0.261
N  0.123  0.055  0.945
V  0.849  0.126  0.874
Pt  0.387  0.023  0.977
Pt  0.613  0.977  0.023

Values from the calculation:
**Density**: 9.19 Mg/m³
**Uncorrected formation energy**: -0.42 eV/atom
**V**: 13.1 Å³/atom
**DFT total energy**: -87.69 eV/cell

A plane-wave DFT calculation with PBE was carried out for crystalline V3PtN at its relaxed geometry.

Lattice parameters (Å, degrees): 3.889 3.889 5.802 90.00 90.00 90.00
Sites, in units of the cell vectors:
V  0.500  0.000  0.457
V  0.000  0.000  0.742
V  0.000  0.500  0.457
N  0.500  0.500  0.445
Pt  0.000  0.000  0.162

Values from the calculation:
**Density**: 6.85 Mg/m³
**Uncorrected formation energy**: 0.20 eV/atom
**V**: 17.5 Å³/atom
**DFT total energy**: -40.74 eV/cell

A plane-wave DFT calculation with PBE was carried out for crystalline V3PtN at its relaxed geometry.

Lattice parameters (Å, degrees): 17.408 5.096 7.091 90.00 156.67 90.00
Sites, in units of the cell vectors:
V  0.452  0.211  0.956
V  0.715  0.457  0.196
V  0.838  0.216  0.841
Pt  0.081  0.289  0.086
Pt  0.419  0.789  0.414
N  0.372  0.852  0.855
Pt  0.919  0.711  0.914
Pt  0.581  0.211  0.586
V  0.952  0.289  0.456
V  0.785  0.957  0.304
N  0.128  0.352  0.645
V  0.662  0.716  0.659
N  0.628  0.148  0.145
V  0.338  0.284  0.341
V  0.548  0.789  0.044
V  0.162  0.784  0.159
V  0.285  0.543  0.804
V  0.048  0.711  0.544
N  0.872  0.648  0.355
V  0.215  0.043  0.696

Values from the calculation:
**Density**: 9.65 Mg/m³
**Uncorrected formation energy**: -0.58 eV/atom
**V**: 12.5 Å³/atom
**DFT total energy**: -178.42 eV/cell

A plane-wave DFT calculation with PBE was carried out for crystalline V3PtN at its relaxed geometry.

Lattice parameters (Å, degrees): 5.049 5.049 5.049 90.65 90.65 90.65
Sites, in units of the cell vectors:
N  0.250  0.250  0.250
V  0.507  0.250  0.993
Pt  0.500  0.500  0.500
V  0.007  0.493  0.750
Pt  0.000  0.000  0.000
V  0.993  0.507  0.250
V  0.250  0.993  0.507
V  0.493  0.750  0.007
V  0.750  0.007  0.493
N  0.750  0.750  0.750

Values from the calculation:
**Density**: 9.34 Mg/m³
**Uncorrected formation energy**: -0.28 eV/atom
**V**: 12.9 Å³/atom
**DFT total energy**: -86.20 eV/cell